Record 1
Below is a relaxed structure of Th2Al5Pd, with properties calculated at the PBE level.

CIF file:
```
data_Th2Al5Pd
_space_group_name_H-M_alt 'I 4 m m'
_space_group_IT_number 107
_space_group_name_Hall 'I 4 -2'
_cell_length_a 6.280
_cell_length_b 6.280
_cell_length_c 8.980
_cell_angle_alpha 90.00
_cell_angle_beta 90.00
_cell_angle_gamma 90.00
loop_
_atom_site_label
_atom_site_fract_x
_atom_site_fract_y
_atom_site_fract_z
Th1 0.000 0.500 0.000
Al1 0.000 0.000 0.478
Al2 0.216 0.216 0.253
Pd1 0.000 0.000 0.758
```

Results
**Energy of formation from the pure elements**: -3.21 eV per formula unit

***

Record 2
Below is a relaxed structure of YTaIn2, with properties calculated at the PBE level.

CIF file:
```
data_YTaIn2
_space_group_name_H-M_alt 'P m m 2'
_space_group_IT_number 25
_cell_length_a 3.410
_cell_length_b 4.228
_cell_length_c 6.538
_cell_angle_alpha 90.00
_cell_angle_beta 90.00
_cell_angle_gamma 90.00
loop_
_space_group_symop_operation_xyz
'x,y,z'
'-x,-y,z'
'-x,y,z'
'x,-y,z'
loop_
_atom_site_label
_atom_site_fract_x
_atom_site_fract_y
_atom_site_fract_z
Y1 0.000 0.000 0.000
Ta1 0.500 0.500 0.751
In1 0.000 0.000 0.526
In2 0.500 0.500 0.277
```

Results
**Energy of formation from the pure elements**: 0.75 eV per formula unit

***

Record 3
Below is a relaxed structure of Zr8C4N3O, with properties calculated at the PBE level.

CIF file:
```
data_Zr8C4N3O
_space_group_name_H-M_alt 'R -3 m'
_space_group_IT_number 166
_space_group_name_Hall '-R 3 2"'
_cell_length_a 6.6059
_cell_length_b 6.6059
_cell_length_c 16.2378
_cell_angle_alpha 90.00
_cell_angle_beta 90.00
_cell_angle_gamma 120.00
loop_
_atom_site_label
_atom_site_fract_x
_atom_site_fract_y
_atom_site_fract_z
Zr1 0.0000 0.0000 0.2492
Zr2 0.0060 0.5030 0.2473
C1 0.0000 0.0000 0.5000
C2 0.0000 0.5000 0.5000
N1 0.0000 0.5000 0.0000
O1 0.0000 0.0000 0.0000
```

Results
**Formation energy from raw total energies**: -1410 meV per atom

***

Record 4
Below is a relaxed structure of Th2GaPd9, with properties calculated at the PBE level.

CIF file:
```
data_Th2GaPd9
_space_group_name_H-M_alt 'P 4/m m m'
_space_group_IT_number 123
_space_group_name_Hall '-P 4 2'
_cell_length_a 4.162
_cell_length_b 4.162
_cell_length_c 12.154
_cell_angle_alpha 90.00
_cell_angle_beta 90.00
_cell_angle_gamma 90.00
loop_
_atom_site_label
_atom_site_fract_x
_atom_site_fract_y
_atom_site_fract_z
Th1 0.000 0.000 0.178
Ga1 0.000 0.000 0.500
Pd1 0.000 0.500 0.000
Pd2 0.000 0.500 0.348
Pd3 0.500 0.500 0.174
Pd4 0.500 0.500 0.500
```

Results
**Energy of formation from the pure elements**: -9.65 eV per formula unit

***

Record 5
Below is a relaxed structure of LiMg3Cr, with properties calculated at the PBE level.

CIF file:
```
data_LiMg3Cr
_space_group_name_H-M_alt 'P m -3 m'
_space_group_IT_number 221
_space_group_name_Hall '-P 4 2 3'
_cell_length_a 5.250
_cell_length_b 5.250
_cell_length_c 5.250
_cell_angle_alpha 90.00
_cell_angle_beta 90.00
_cell_angle_gamma 90.00
loop_
_atom_site_label
_atom_site_fract_x
_atom_site_fract_y
_atom_site_fract_z
Li1 0.000 0.000 0.000
Mg1 0.000 0.500 0.500
Cr1 0.500 0.500 0.500
```

Results
**Energy of formation from the pure elements**: 3.13 eV per formula unit

***

Record 6
Below is a relaxed structure of AlCr2Re, with properties calculated at the PBE level.

CIF file:
```
data_AlCr2Re
_space_group_name_H-M_alt 'R -3 m'
_space_group_IT_number 166
_space_group_name_Hall '-R 3 2"'
_cell_length_a 2.7104
_cell_length_b 2.7104
_cell_length_c 25.6223
_cell_angle_alpha 90.00
_cell_angle_beta 90.00
_cell_angle_gamma 120.00
loop_
_atom_site_label
_atom_site_fract_x
_atom_site_fract_y
_atom_site_fract_z
Al1 0.0000 0.0000 0.0000
Cr1 0.0000 0.0000 0.2492
Re1 0.0000 0.0000 0.5000
```

Results
**Energy of formation from the pure elements**: 0.72 eV per formula unit

***

Record 7
Below is a relaxed structure of Y3NiW, with properties calculated at the PBE level.

CIF file:
```
data_Y3NiW
_space_group_name_H-M_alt 'P m -3 m'
_space_group_IT_number 221
_space_group_name_Hall '-P 4 2 3'
_cell_length_a 5.348
_cell_length_b 5.348
_cell_length_c 5.348
_cell_angle_alpha 90.00
_cell_angle_beta 90.00
_cell_angle_gamma 90.00
loop_
_atom_site_label
_atom_site_fract_x
_atom_site_fract_y
_atom_site_fract_z
Y1 0.000 0.000 0.500
Ni1 0.500 0.500 0.500
W1 0.000 0.000 0.000
```

Results
**Energy of formation from the pure elements**: 4.57 eV per formula unit

***

Record 8
Below is a relaxed structure of TlPRhO5, with properties calculated at the PBE level.

CIF file:
```
data_TlPRhO5
_space_group_name_H-M_alt 'C 1 2/c 1'
_space_group_IT_number 15
_cell_length_a 6.459
_cell_length_b 8.360
_cell_length_c 8.818
_cell_angle_alpha 90.00
_cell_angle_beta 109.53
_cell_angle_gamma 90.00
loop_
_space_group_symop_operation_xyz
'x,y,z'
'-x,-y,-z'
'-x,y,-z+1/2'
'x,-y,z+1/2'
'x+1/2,y+1/2,z'
'-x+1/2,-y+1/2,-z'
'-x+1/2,y+1/2,-z+1/2'
'x+1/2,-y+1/2,z+1/2'
loop_
_atom_site_label
_atom_site_fract_x
_atom_site_fract_y
_atom_site_fract_z
Tl1 0.000 0.000 0.000
P1 0.000 0.330 0.250
Rh1 0.000 0.306 0.750
O1 0.000 0.086 0.750
O2 0.116 0.446 0.391
O3 0.164 0.213 0.208
```

Results
**Formation energy from raw total energies**: -1094 meV per atom

***

Record 9
Below is a relaxed structure of BaAs2OsO, with properties calculated at the PBE level.

CIF file:
```
data_BaAs2OsO
_space_group_name_H-M_alt 'P 4/m m m'
_space_group_IT_number 123
_space_group_name_Hall '-P 4 2'
_cell_length_a 4.563
_cell_length_b 4.563
_cell_length_c 6.914
_cell_angle_alpha 90.00
_cell_angle_beta 90.00
_cell_angle_gamma 90.00
loop_
_atom_site_label
_atom_site_fract_x
_atom_site_fract_y
_atom_site_fract_z
Ba1 0.000 0.000 0.000
As1 0.000 0.500 0.500
Os1 0.000 0.000 0.500
O1 0.500 0.500 0.000
```

Results
**Formation energy from raw total energies**: -74 meV per atom

***

Record 10
Below is a relaxed structure of LaReRu2, with properties calculated at the PBE level.

CIF file:
```
data_LaReRu2
_space_group_name_H-M_alt 'C 1 2/m 1'
_space_group_IT_number 12
_cell_length_a 8.900
_cell_length_b 2.917
_cell_length_c 6.001
_cell_angle_alpha 90.00
_cell_angle_beta 100.76
_cell_angle_gamma 90.00
loop_
_space_group_symop_operation_xyz
'x,y,z'
'-x,-y,-z'
'-x,y,-z'
'x,-y,z'
'x+1/2,y+1/2,z'
'-x+1/2,-y+1/2,-z'
'-x+1/2,y+1/2,-z'
'x+1/2,-y+1/2,z'
loop_
_atom_site_label
_atom_site_fract_x
_atom_site_fract_y
_atom_site_fract_z
La1 0.000 0.000 0.000
Re1 0.000 0.500 0.500
Ru1 0.238 0.000 0.672
```

Results
**Energy of formation from the pure elements**: 1.46 eV per formula unit